VASP calculation (PBE) on Li3CeIr2 after structural relaxation.

abc: 7.0370 7.0370 7.9277
angles: 113.39 113.39 34.93
Positions (direct):
Li1 0.0588 0.0588 0.3843
Li2 0.2819 0.2819 0.4601
Li3 0.4246 0.4246 0.3181
Li4 0.5754 0.5754 0.6819
Li5 0.7181 0.7181 0.5399
Li6 0.9412 0.9412 0.6157
Ce1 0.1449 0.1449 0.0228
Ce2 0.8551 0.8551 0.9772
Ir1 0.2071 0.2071 0.7488
Ir2 0.4281 0.4281 0.8283
Ir3 0.5719 0.5719 0.1717
Ir4 0.7929 0.7929 0.2512

**Symmetry**: C2/m, No. 12
**E_form**: -1.96 eV per formula unit
**Raw total energy**: -62.706 eV/cell

=====

VASP calculation (PBE) on LiCe2Ir after structural relaxation.

abc: 10.3295 10.3295 10.3295
angles: 22.26 22.26 22.26
Positions (direct):
Li1 0.0000 0.0000 0.0000
Ce1 0.1151 0.1151 0.1151
Ce2 0.8849 0.8849 0.8849
Ir1 0.5000 0.5000 0.5000

**Symmetry**: R-3m, No. 166
**E_form**: -0.46 eV per formula unit
**Raw total energy**: -23.098 eV/cell

=====

VASP calculation (PBE) on LiCe3Ir8 after structural relaxation.

abc: 9.2638 9.2638 9.2638
angles: 33.57 33.57 33.57
Positions (direct):
Li1 0.0000 0.0000 0.0000
Ce1 0.1230 0.1230 0.1230
Ce2 0.5078 0.5078 0.5078
Ce3 0.6353 0.6353 0.6353
Ir1 0.0681 0.0681 0.5680
Ir2 0.0681 0.5680 0.0681
Ir3 0.0702 0.5661 0.5661
Ir4 0.3179 0.3179 0.3179
Ir5 0.5661 0.0702 0.5661
Ir6 0.5661 0.5661 0.0702
Ir7 0.5680 0.0681 0.0681
Ir8 0.8178 0.8178 0.8178

**Symmetry**: R3m, No. 160
**E_form**: -7.68 eV per formula unit
**Raw total energy**: -98.286 eV/cell

=====

VASP calculation (PBE) on LiCeLuIr after structural relaxation.

abc: 4.9170 4.9170 4.9170
angles: 60.00 60.00 60.00
Positions (direct):
Li1 0.0000 0.0000 0.0000
Ce1 0.7500 0.7500 0.7500
Lu1 0.2500 0.2500 0.2500
Ir1 0.5000 0.5000 0.5000

**Symmetry**: F-43m, No. 216
**E_form**: -1.89 eV per formula unit
**Raw total energy**: -23.117 eV/cell

=====

VASP calculation (PBE) on LiCeMgIr after structural relaxation.

abc: 4.7793 4.7793 4.7793
angles: 60.00 60.00 60.00
Positions (direct):
Li1 0.0000 0.0000 0.0000
Ce1 0.2500 0.2500 0.2500
Mg1 0.7500 0.7500 0.7500
Ir1 0.5000 0.5000 0.5000

**Symmetry**: F-43m, No. 216
**E_form**: -1.41 eV per formula unit
**Raw total energy**: -19.713 eV/cell

=====

VASP calculation (PBE) on LiCeNdIr after structural relaxation.

abc: 5.0487 5.0487 5.0487
angles: 60.00 60.00 60.00
Positions (direct):
Li1 0.0000 0.0000 0.0000
Ce1 0.7500 0.7500 0.7500
Nd1 0.2500 0.2500 0.2500
Ir1 0.5000 0.5000 0.5000

**Symmetry**: F-43m, No. 216
**E_form**: -1.34 eV per formula unit
**Raw total energy**: -22.812 eV/cell

=====

VASP calculation (PBE) on Li3Ce2Ni12Ir after structural relaxation.

abc: 9.1847 9.1847 9.1847
angles: 37.62 37.62 37.62
Positions (direct):
Li1 0.0000 0.5000 0.5000
Li2 0.5000 0.0000 0.5000
Li3 0.5000 0.5000 0.0000
Ce1 0.1358 0.1358 0.1358
Ce2 0.8642 0.8642 0.8642
Ni1 0.0613 0.6287 0.6287
Ni2 0.0855 0.0855 0.6927
Ni3 0.0855 0.6927 0.0855
Ni4 0.3073 0.9145 0.9145
Ni5 0.3713 0.3713 0.9387
Ni6 0.3713 0.9387 0.3713
Ni7 0.6287 0.0613 0.6287
Ni8 0.6287 0.6287 0.0613
Ni9 0.6927 0.0855 0.0855
Ni10 0.9145 0.3073 0.9145
Ni11 0.9145 0.9145 0.3073
Ni12 0.9387 0.3713 0.3713
Ir1 0.5000 0.5000 0.5000

**Symmetry**: R-3m, No. 166
**E_form**: 1.94 eV per formula unit
**Raw total energy**: -93.907 eV/cell

=====

VASP calculation (PBE) on LiCeNpIr after structural relaxation.

abc: 4.7002 4.7002 4.7002
angles: 60.00 60.00 60.00
Positions (direct):
Li1 0.0000 0.0000 0.0000
Ce1 0.7500 0.7500 0.7500
Np1 0.5000 0.5000 0.5000
Ir1 0.2500 0.2500 0.2500

**Symmetry**: F-43m, No. 216
**E_form**: -0.88 eV per formula unit
**Raw total energy**: -30.529 eV/cell

=====

VASP calculation (PBE) on LiCeIrO4 after structural relaxation.

abc: 6.2979 6.2979 6.2979
angles: 118.32 110.08 100.50
Positions (direct):
Li1 0.3244 0.0744 0.2500
Li2 0.6756 0.9256 0.7500
Ce1 0.0000 0.5000 0.5000
Ce2 0.5000 0.5000 0.0000
Ir1 0.0000 0.0000 0.5000
Ir2 0.0000 0.5000 0.0000
O1 0.1540 0.2208 0.9332
O2 0.2124 0.7792 0.4332
O3 0.2579 0.2891 0.5312
O4 0.2579 0.7267 0.9688
O5 0.7421 0.2733 0.0312
O6 0.7421 0.7109 0.4688
O7 0.7876 0.2208 0.5668
O8 0.8460 0.7792 0.0668

**Symmetry**: Imma, No. 74
**Raw total energy**: -101.620 eV/cell
**Formation energy from raw total energies**: -2.0383 eV per atom

=====

VASP calculation (PBE) on LiCe2P3Ir4 after structural relaxation.

abc: 4.0164 4.0164 10.1665
angles: 90.00 90.00 90.00
Positions (direct):
Li1 0.0000 0.0000 0.0000
Ce1 0.0000 0.5000 0.7550
Ce2 0.5000 0.0000 0.2450
P1 0.0000 0.5000 0.3654
P2 0.5000 0.0000 0.6346
P3 0.5000 0.5000 0.0000
Ir1 0.0000 0.0000 0.5000
Ir2 0.0000 0.5000 0.1385
Ir3 0.5000 0.0000 0.8615
Ir4 0.5000 0.5000 0.5000

**Symmetry**: P-4m2, No. 115
**E_form**: -9.58 eV per formula unit
**Raw total energy**: -75.040 eV/cell

=====

VASP calculation (PBE) on LiCe2P4Ir3 after structural relaxation.

abc: 4.2136 4.2136 9.4148
angles: 90.00 90.00 90.00
Positions (direct):
Li1 0.0000 0.0000 0.0000
Ce1 0.0000 0.5000 0.7473
Ce2 0.5000 0.0000 0.2527
P1 0.0000 0.0000 0.5000
P2 0.0000 0.5000 0.1342
P3 0.5000 0.0000 0.8658
P4 0.5000 0.5000 0.5000
Ir1 0.0000 0.5000 0.3884
Ir2 0.5000 0.0000 0.6116
Ir3 0.5000 0.5000 0.0000

**Symmetry**: P-4m2, No. 115
**E_form**: -10.35 eV per formula unit
**Raw total energy**: -72.353 eV/cell

=====

VASP calculation (PBE) on LiCeP2Ir7 after structural relaxation.

abc: 10.0665 10.0665 10.0665
angles: 156.18 156.18 33.94
Positions (direct):
Li1 0.0000 0.0000 0.0000
Ce1 0.2500 0.7500 0.5000
P1 0.5807 0.0807 0.5000
P2 0.9193 0.4193 0.5000
Ir1 0.0363 0.5363 0.5000
Ir2 0.1420 0.1420 0.0000
Ir3 0.3628 0.3628 0.0000
Ir4 0.4637 0.9637 0.5000
Ir5 0.6372 0.6372 0.0000
Ir6 0.7500 0.2500 0.5000
Ir7 0.8580 0.8580 0.0000

**Symmetry**: I-4m2, No. 119
**E_form**: -1.59 eV per formula unit
**Raw total energy**: -82.284 eV/cell